A plane-wave DFT calculation with PBE+U was carried out for crystalline NpTl2Co2O6 at its relaxed geometry.

```
11
Lattice="2.8618 -4.5019 0.0000 2.8618 4.5019 0.0000 -2.6195 0.0000 6.6469" Properties=species:S:1:pos:R:3 pbc="T T T"
Np 0.0000 0.0000 0.0000
Tl 1.5521 2.9095 3.3235
Tl 1.5521 -2.9095 3.3235
Co 2.8618 1.4751 0.0000
Co 2.8618 -1.4751 0.0000
O 0.7242 1.5549 1.1339
O -0.6513 0.0000 5.6708
O 0.7242 -1.5549 1.1339
O 2.3799 1.5549 5.5131
O 3.7554 0.0000 0.9762
O 2.3799 -1.5549 5.5131
```

Computed properties:
- Raw total energy: -6.67 eV/atom
- Fermi-level density of states: 0.86 states/eV per cell
- V: 15.57 Å³/atom